1.
4
Lattice="0.000 3.746 3.746 3.746 0.000 3.746 3.746 3.746 0.000" Properties=species:S:1:pos:R:3 comment="PBE CePrAlAu, optimized geometry" e_form_ev_per_atom=-0.390 m_tot_mub_per_cell=1.43 pbc="T T T"
Ce 0.000 0.000 0.000
Pr 3.746 3.746 3.746
Al 5.619 5.619 5.619
Au 1.873 1.873 1.873


2.
5
Lattice="4.950 0.000 0.000 0.000 4.950 0.000 0.000 0.000 5.916" Properties=species:S:1:pos:R:3 comment="PBE SrHgP2Pd, optimized geometry" e_form_ev_per_atom=0.783 m_tot_mub_per_cell=0.00 pbc="T T T"
Sr 0.000 0.000 0.000
Hg 0.000 0.000 2.958
P 0.000 2.475 2.958
P 2.475 0.000 2.958
Pd 2.475 2.475 0.000


3.
14
Lattice="6.697 0.000 0.000 0.000 6.554 0.000 -3.058 0.000 7.851" Properties=species:S:1:pos:R:3 comment="PBE PaAgPbS4, optimized geometry" raw_formation_energy_mev_per_atom=-836 m_tot_mub_per_cell=0.00 pbc="T T T"
Pa 1.314 1.638 0.361
Pa 2.326 4.915 7.491
Ag -0.990 4.915 6.489
Ag 4.630 1.638 1.362
Pb 0.251 1.638 4.175
Pb 3.388 4.915 3.677
S -0.273 3.390 1.649
S -0.273 6.440 1.649
S 1.038 4.915 5.030
S 0.562 1.638 6.960
S 3.078 4.915 0.892
S 2.602 1.638 2.821
S 3.913 0.114 6.203
S 3.913 3.163 6.203


4.
5
Lattice="4.173 0.000 0.000 0.000 4.173 0.000 0.000 0.000 3.953" Properties=species:S:1:pos:R:3 comment="PBE TlSbN2O, optimized geometry" raw_formation_energy_mev_per_atom=612 m_tot_mub_per_cell=0.00 pbc="T T T"
Tl 0.000 0.000 0.000
Sb 2.087 2.087 1.977
N 0.000 2.087 1.977
N 2.087 0.000 1.977
O 2.087 2.087 0.000


5.
12
Lattice="4.220 2.436 10.189 -4.220 2.436 10.189 0.000 -4.873 10.189" Properties=species:S:1:pos:R:3 comment="PBE U3HgI8, optimized geometry" raw_formation_energy_mev_per_atom=-651 m_tot_mub_per_cell=10.00 pbc="T T T"
U -2.110 -1.218 10.189
U -2.110 1.218 20.379
U 0.000 2.436 10.189
Hg 0.000 0.000 15.284
I 0.000 -2.460 12.075
I -2.130 1.230 12.075
I 0.000 0.000 8.170
I -2.130 -1.230 18.493
I 2.130 1.230 12.075
I 0.000 0.000 22.398
I 2.130 -1.230 18.493
I 0.000 2.460 18.493


6.
12
Lattice="3.436 -5.513 0.000 3.436 5.513 0.000 0.000 0.000 5.940" Properties=species:S:1:pos:R:3 comment="PBE PrFeCoGe3, optimized geometry" e_form_ev_per_atom=-0.266 m_tot_mub_per_cell=2.42 pbc="T T T"
Pr 3.436 2.758 4.455
Pr 3.436 -2.758 1.485
Fe 3.436 4.966 1.485
Fe 3.436 -4.966 4.455
Co 3.436 0.573 1.485
Co 3.436 -0.573 4.455
Ge 3.436 2.760 1.485
Ge 1.741 0.000 0.000
Ge 1.741 0.000 2.970
Ge 5.131 0.000 0.000
Ge 5.131 0.000 2.970
Ge 3.436 -2.760 4.455


7.
8
Lattice="3.689 0.000 0.000 0.000 4.632 0.000 0.000 0.000 12.069" Properties=species:S:1:pos:R:3 comment="PBE Nd4Zn3Ag, optimized geometry" e_form_ev_per_atom=-0.255 m_tot_mub_per_cell=0.00 e_above_lowest_polymorph_ev_per_fu=0.36 pbc="T T T"
Nd 0.000 0.000 0.000
Nd 0.000 2.316 3.624
Nd 1.844 0.000 5.956
Nd 1.844 2.316 9.677
Zn 0.000 2.316 7.001
Zn 1.844 0.000 2.586
Zn 1.844 2.316 1.007
Ag 0.000 0.000 8.620


8.
4
Lattice="4.308 0.000 0.000 0.000 4.308 0.000 0.000 0.000 8.190" Properties=species:S:1:pos:R:3 comment="PBE CaAc2In, optimized geometry" e_form_ev_per_atom=-0.177 m_tot_mub_per_cell=0.00 e_above_lowest_polymorph_ev_per_fu=0.02 pbc="T T T"
Ca 0.000 0.000 0.000
Ac 2.154 2.154 2.243
Ac 2.154 2.154 5.947
In 0.000 0.000 4.095


9.
15
Lattice="4.691 2.708 6.325 -4.691 2.708 6.325 0.000 -5.416 6.325" Properties=species:S:1:pos:R:3 comment="PBE Ce6ScTe8, optimized geometry" raw_formation_energy_mev_per_atom=-1283 m_tot_mub_per_cell=8.97 pbc="T T T"
Ce -1.824 -3.112 8.039
Ce -3.607 0.024 10.935
Ce -1.783 3.135 8.039
Ce 1.783 -3.135 10.935
Ce 3.607 -0.024 8.039
Ce 1.824 3.112 10.935
Sc 0.000 0.000 9.487
Te -2.470 0.044 7.783
Te 0.000 0.000 3.174
Te -1.273 -2.117 11.192
Te 1.197 -2.161 7.783
Te -1.197 2.161 11.192
Te 1.273 2.117 7.783
Te 0.000 0.000 15.800
Te 2.470 -0.044 11.192


10.
12
Lattice="-2.251 2.251 8.707 2.251 -2.251 8.707 2.251 2.251 -8.707" Properties=species:S:1:pos:R:3 comment="PBE AlNi4Pt, optimized geometry" e_form_ev_per_atom=0.417 m_tot_mub_per_cell=2.77 e_above_lowest_polymorph_ev_per_fu=4.51 pbc="T T T"
Al 2.251 1.126 2.177
Al 0.000 1.126 6.530
Ni 2.251 -0.010 4.193
Ni 2.251 2.242 -4.193
Ni 1.116 1.126 0.161
Ni 1.135 -1.126 8.868
Ni 1.116 3.377 -0.161
Ni 1.135 1.126 8.547
Ni 0.000 0.010 12.900
Ni 0.000 2.261 4.514
Pt 2.251 -1.126 6.530
Pt 0.000 3.377 2.177


11.
28
Lattice="4.452 0.000 0.000 0.000 13.580 0.000 0.000 0.000 10.214" Properties=species:S:1:pos:R:3 comment="PBE Ca3Sn6Pd5, optimized geometry" e_form_ev_per_atom=-0.675 m_tot_mub_per_cell=0.00 pbc="T T T"
Ca 1.113 0.647 2.535
Ca 1.113 6.142 2.535
Ca 1.113 10.185 2.709
Ca 3.339 3.395 7.506
Ca 3.339 7.437 7.679
Ca 3.339 12.932 7.679
Sn 1.113 0.965 6.030
Sn 1.113 3.395 0.333
Sn 1.113 3.395 4.047
Sn 1.113 5.825 6.030
Sn 1.113 8.028 10.039
Sn 1.113 12.342 10.039
Sn 3.339 1.238 0.175
Sn 3.339 5.552 0.175
Sn 3.339 7.755 4.185
Sn 3.339 10.185 6.167
Sn 3.339 10.185 9.881
Sn 3.339 12.614 4.185
Pd 1.113 1.304 8.741
Pd 1.113 5.486 8.741
Pd 1.113 8.644 5.541
Pd 1.113 10.185 8.118
Pd 1.113 11.726 5.541
Pd 3.339 1.854 4.673
Pd 3.339 3.395 2.096
Pd 3.339 4.936 4.673
Pd 3.339 8.094 1.473
Pd 3.339 12.276 1.473


12.
4
Lattice="4.221 -1.667 0.000 4.221 1.667 0.000 -3.442 0.000 6.583" Properties=species:S:1:pos:R:3 comment="PBE BaSi2W, optimized geometry" raw_formation_energy_mev_per_atom=104 m_tot_mub_per_cell=0.00 e_above_lowest_polymorph_ev_per_fu=0.41 pbc="T T T"
Ba 0.000 0.000 0.000
Si -1.026 0.000 4.012
Si 2.483 0.000 2.323
W 4.968 0.000 3.128


13.
5
Lattice="5.044 0.000 0.000 0.000 5.044 0.000 0.000 0.000 5.608" Properties=species:S:1:pos:R:3 comment="PBE ZrNbSe2F, optimized geometry" raw_formation_energy_mev_per_atom=236 m_tot_mub_per_cell=2.34 pbc="T T T"
Zr 0.000 0.000 0.000
Nb 0.000 0.000 2.804
Se 0.000 2.522 0.000
Se 2.522 0.000 0.000
F 2.522 2.522 2.804


14.
4
Lattice="1.977 1.141 6.395 -1.977 1.141 6.395 0.000 -2.283 6.395" Properties=species:S:1:pos:R:3 comment="PBE LaTlN2, optimized geometry" raw_formation_energy_mev_per_atom=-225 m_tot_mub_per_cell=0.00 e_above_lowest_polymorph_ev_per_fu=0.00 pbc="T T T"
La 0.000 0.000 0.000
Tl 0.000 0.000 9.593
N 0.000 0.000 7.571
N 0.000 0.000 11.614


15.
5
Lattice="4.340 0.000 0.000 0.000 4.340 0.000 0.000 0.000 4.340" Properties=species:S:1:pos:R:3 comment="PBE AgSF3, optimized geometry" raw_formation_energy_mev_per_atom=-398 m_tot_mub_per_cell=2.98 e_above_lowest_polymorph_ev_per_fu=0.74 pbc="T T T"
Ag 0.000 0.000 0.000
S 2.170 2.170 2.170
F 0.000 0.000 2.170
F 0.000 2.170 0.000
F 2.170 0.000 0.000


| no. | DFT total energy (eV per cell) |
| --- | --- |
| 1 | -19.30 |
| 2 | -14.08 |
| 3 | -76.83 |
| 4 | -25.04 |
| 5 | -54.38 |
| 6 | -71.59 |
| 7 | -27.79 |
| 8 | -13.66 |
| 9 | -86.32 |
| 10 | -60.82 |
| 11 | -130.86 |
| 12 | -25.31 |
| 13 | -26.28 |
| 14 | -24.84 |
| 15 | -14.58 |